A | Below is a relaxed structure of LuMgCuTe3, with properties calculated at the PBE level.

Cell lengths 7.235, 7.235, 11.092 Å; angles 90.00, 90.00, 147.25 degrees
Element x y z (fractional)
Lu 0.000 0.000 0.000
Lu 0.000 0.000 0.500
Mg 0.226 0.774 0.750
Mg 0.774 0.226 0.250
Cu 0.476 0.524 0.250
Cu 0.524 0.476 0.750
Te 0.100 0.900 0.250
Te 0.352 0.648 0.072
Te 0.352 0.648 0.428
Te 0.648 0.352 0.572
Te 0.648 0.352 0.928
Te 0.900 0.100 0.750

Computed properties:
The value obtained for the magnetic moment is 0.00 μB/atom. Its space group is Cmcm (63). The calculation puts the density at 6.826 g/cm3.

B | Below is a relaxed structure of LuMgCuTe3, with properties calculated at the PBE level.

Cell lengths 8.162, 4.099, 9.853 Å; angles 90.00, 101.62, 90.00 degrees
Element x y z (fractional)
Lu 0.176 0.250 0.175
Lu 0.824 0.750 0.825
Mg 0.303 0.750 0.713
Mg 0.697 0.250 0.287
Cu 0.424 0.750 0.424
Cu 0.576 0.250 0.576
Te 0.101 0.250 0.852
Te 0.234 0.250 0.484
Te 0.437 0.750 0.157
Te 0.563 0.250 0.843
Te 0.766 0.750 0.516
Te 0.899 0.750 0.148

Computed properties:
The value obtained for the magnetic moment is 0.00 μB/atom. Its space group is P2_1/m (11). The calculation puts the density at 6.641 g/cm3.

Most stable = B

A | Below is a relaxed structure of LuMgZnCu, with properties calculated at the PBE level.

Cell lengths 4.644, 4.644, 4.644 Å; angles 60.00, 60.00, 60.00 degrees
Element x y z (fractional)
Lu 0.000 0.000 0.000
Mg 0.250 0.250 0.250
Zn 0.500 0.500 0.500
Cu 0.750 0.750 0.750

Computed properties:
The value obtained for the magnetic moment is 0.00 μB/atom. Its space group is F-43m (216). The calculation puts the density at 7.697 g/cm3.

B | Below is a relaxed structure of LuMgZnCu, with properties calculated at the PBE level.

Cell lengths 4.647, 4.647, 4.647 Å; angles 60.00, 60.00, 60.00 degrees
Element x y z (fractional)
Lu 0.000 0.000 0.000
Mg 0.750 0.750 0.750
Zn 0.250 0.250 0.250
Cu 0.500 0.500 0.500

Computed properties:
The value obtained for the magnetic moment is 0.00 μB/atom. Its space group is F-43m (216). The calculation puts the density at 7.679 g/cm3.

Most stable = A

A | Below is a relaxed structure of LuCuMoOs, with properties calculated at the PBE level.

Cell lengths 4.486, 4.486, 4.486 Å; angles 60.00, 60.00, 60.00 degrees
Element x y z (fractional)
Lu 0.000 0.000 0.000
Cu 0.250 0.250 0.250
Mo 0.750 0.750 0.750
Os 0.500 0.500 0.500

Computed properties:
The value obtained for the magnetic moment is 0.00 μB/atom. Its space group is F-43m (216). The calculation puts the density at 13.644 g/cm3.

B | Below is a relaxed structure of LuCuMoOs, with properties calculated at the PBE level.

Cell lengths 4.507, 4.507, 4.507 Å; angles 60.00, 60.00, 60.00 degrees
Element x y z (fractional)
Lu 0.000 0.000 0.000
Cu 0.500 0.500 0.500
Mo 0.250 0.250 0.250
Os 0.750 0.750 0.750

Computed properties:
The value obtained for the magnetic moment is 0.32 μB/atom. Its space group is F-43m (216). The calculation puts the density at 13.459 g/cm3.

Most stable = A

A | Below is a relaxed structure of LuCuSbMo, with properties calculated at the PBE level.

Cell lengths 4.716, 4.716, 4.716 Å; angles 60.00, 60.00, 60.00 degrees
Element x y z (fractional)
Lu 0.000 0.000 0.000
Cu 0.750 0.750 0.750
Sb 0.500 0.500 0.500
Mo 0.250 0.250 0.250

Computed properties:
The value obtained for the magnetic moment is 0.00 μB/atom. Its space group is F-43m (216). The calculation puts the density at 10.214 g/cm3.

B | Below is a relaxed structure of LuCuSbMo, with properties calculated at the PBE level.

Cell lengths 4.769, 4.769, 4.769 Å; angles 60.00, 60.00, 60.00 degrees
Element x y z (fractional)
Lu 0.000 0.000 0.000
Cu 0.500 0.500 0.500
Sb 0.250 0.250 0.250
Mo 0.750 0.750 0.750

Computed properties:
The value obtained for the magnetic moment is 0.07 μB/atom. Its space group is F-43m (216). The calculation puts the density at 9.876 g/cm3.

Most stable = A

A | Below is a relaxed structure of LuCuSnMo, with properties calculated at the PBE level.

Cell lengths 4.712, 4.712, 4.712 Å; angles 60.00, 60.00, 60.00 degrees
Element x y z (fractional)
Lu 0.000 0.000 0.000
Cu 0.750 0.750 0.750
Sn 0.500 0.500 0.500
Mo 0.250 0.250 0.250

Computed properties:
The value obtained for the magnetic moment is 0.00 μB/atom. Its space group is F-43m (216). The calculation puts the density at 10.174 g/cm3.

B | Below is a relaxed structure of LuCuSnMo, with properties calculated at the PBE level.

Cell lengths 4.780, 4.780, 4.780 Å; angles 60.00, 60.00, 60.00 degrees
Element x y z (fractional)
Lu 0.000 0.000 0.000
Cu 0.500 0.500 0.500
Sn 0.250 0.250 0.250
Mo 0.750 0.750 0.750

Computed properties:
The value obtained for the magnetic moment is 0.23 μB/atom. Its space group is F-43m (216). The calculation puts the density at 9.745 g/cm3.

Most stable = A

A | Below is a relaxed structure of LuZnCuMo, with properties calculated at the PBE level.

Cell lengths 4.611, 4.611, 4.611 Å; angles 60.00, 60.00, 60.00 degrees
Element x y z (fractional)
Lu 0.000 0.000 0.000
Zn 0.500 0.500 0.500
Cu 0.750 0.750 0.750
Mo 0.250 0.250 0.250

Computed properties:
The value obtained for the magnetic moment is 0.49 μB/atom. Its space group is F-43m (216). The calculation puts the density at 9.580 g/cm3.

B | Below is a relaxed structure of LuZnCuMo, with properties calculated at the PBE level.

Cell lengths 4.618, 4.618, 4.618 Å; angles 60.00, 60.00, 60.00 degrees
Element x y z (fractional)
Lu 0.000 0.000 0.000
Zn 0.250 0.250 0.250
Cu 0.500 0.500 0.500
Mo 0.750 0.750 0.750

Computed properties:
The value obtained for the magnetic moment is 0.57 μB/atom. Its space group is F-43m (216). The calculation puts the density at 9.538 g/cm3.

Most stable = A

A | Below is a relaxed structure of LuCuSiNi, with properties calculated at the PBE level.

Cell lengths 4.417, 4.417, 4.417 Å; angles 60.00, 60.00, 60.00 degrees
Element x y z (fractional)
Lu 0.000 0.000 0.000
Cu 0.500 0.500 0.500
Si 0.250 0.250 0.250
Ni 0.750 0.750 0.750

Computed properties:
The value obtained for the magnetic moment is 0.00 μB/atom. Its space group is F-43m (216). The calculation puts the density at 8.865 g/cm3.

B | Below is a relaxed structure of LuCuSiNi, with properties calculated at the PBE level.

Cell lengths 4.346, 4.346, 4.346 Å; angles 60.00, 60.00, 60.00 degrees
Element x y z (fractional)
Lu 0.000 0.000 0.000
Cu 0.750 0.750 0.750
Si 0.500 0.500 0.500
Ni 0.250 0.250 0.250

Computed properties:
The value obtained for the magnetic moment is 0.00 μB/atom. Its space group is F-43m (216). The calculation puts the density at 9.309 g/cm3.

C | Below is a relaxed structure of LuCuSiNi, with properties calculated at the PBE level.

Cell lengths 4.399, 4.399, 4.399 Å; angles 60.00, 60.00, 60.00 degrees
Element x y z (fractional)
Lu 0.000 0.000 0.000
Cu 0.250 0.250 0.250
Si 0.750 0.750 0.750
Ni 0.500 0.500 0.500

Computed properties:
The value obtained for the magnetic moment is 0.00 μB/atom. Its space group is F-43m (216). The calculation puts the density at 8.974 g/cm3.

Most stable = B

A | Below is a relaxed structure of LuCuNiSn, with properties calculated at the PBE level.

Cell lengths 4.622, 4.622, 4.622 Å; angles 60.00, 60.00, 60.00 degrees
Element x y z (fractional)
Lu 0.000 0.000 0.000
Cu 0.750 0.750 0.750
Ni 0.500 0.500 0.500
Sn 0.250 0.250 0.250

Computed properties:
The value obtained for the magnetic moment is 0.00 μB/atom. Its space group is F-43m (216). The calculation puts the density at 9.890 g/cm3.

B | Below is a relaxed structure of LuCuNiSn, with properties calculated at the PBE level.

Cell lengths 4.645, 4.645, 4.645 Å; angles 60.00, 60.00, 60.00 degrees
Element x y z (fractional)
Lu 0.000 0.000 0.000
Cu 0.500 0.500 0.500
Ni 0.750 0.750 0.750
Sn 0.250 0.250 0.250

Computed properties:
The value obtained for the magnetic moment is 0.00 μB/atom. Its space group is F-43m (216). The calculation puts the density at 9.744 g/cm3.

Most stable = A